Compound: CeY2Tm
Source: Alexandria via LeMat-Bulk
Functional: PBE
Structure: optimized geometry

The total energy comes out at -69.24 eV/cell. The value obtained for the size of the total moment is 0.8 μB/f.u. The density of states at the Fermi level is 7.69 states/eV/f.u.

The space group is R3m (No. 160, hexagonal axes) and the conventional cell measures 3.5382, 3.5382 and 34.5742 Å, with angles of 90.00, 90.00 and 120.00 degrees. The inequivalent atoms are Ce at (0.0000, 0.0000, 0.0000), Y at (0.0000, 0.0000, 0.2501), Y at (0.0000, 0.0000, 0.4180) and Tm at (0.0000, 0.0000, 0.8344).

***

Compound: Mg4AuI2
Source: Alexandria via LeMat-Bulk
Functional: PBE
Structure: optimized geometry

The value obtained for the size of the total moment is 0.0 μB/f.u. The calculation puts the formation energy without anion corrections at -279.4 kJ/mol of formula units. The density of states at the Fermi level is 2.38 states/eV/f.u.

The space group is I4/mmm (No. 139) and the conventional cell measures 5.128, 5.128 and 17.300 Å, with angles of 90.00, 90.00 and 90.00 degrees. The inequivalent atoms are Mg at (0.000, 0.000, 0.151), Mg at (0.000, 0.500, 0.000), Au at (0.000, 0.000, 0.000) and I at (0.000, 0.000, 0.312).

***

Compound: PmPu2Pt2
Source: Alexandria via LeMat-Bulk
Functional: PBE
Structure: optimized geometry

The total energy comes out at -195.30 eV/cell. The value obtained for the size of the total moment is 11.5 μB/f.u. The density of states at the Fermi level is 16.13 states/eV/f.u.

The space group is Cmc2_1 (No. 36) and the conventional cell measures 4.069, 13.823 and 9.011 Å, with angles of 90.00, 90.00 and 90.00 degrees. The inequivalent atoms are Pm at (0.000, 0.089, 0.000), Pu at (0.000, 0.182, 0.623), Pu at (0.000, 0.378, 0.860), Pt at (0.000, 0.275, 0.334) and Pt at (0.000, 0.464, 0.175).

***

Compound: MnRuCl2
Source: Alexandria via LeMat-Bulk
Functional: PBE
Structure: optimized geometry

The value obtained for the size of the total moment is 3.0 μB/f.u. The calculation puts the formation energy without anion corrections at -32.4 kJ/mol of formula units. The density of states at the Fermi level is 1.14 states/eV/f.u.

The space group is Cm (No. 8) and the conventional cell measures 6.486, 3.745 and 7.187 Å, with angles of 90.00, 90.24 and 90.00 degrees. The inequivalent atoms are Mn at (0.000, 0.000, 0.000), Ru at (0.166, 0.500, 0.852), Cl at (0.167, 0.500, 0.191) and Cl at (0.332, 0.000, 0.656).

***

Compound: CuPdSe
Source: Alexandria via LeMat-Bulk
Functional: PBE
Structure: optimized geometry

The value obtained for the size of the total moment is 0.0 μB/f.u. The calculation puts the formation energy without anion corrections at -39.3 kJ/mol of formula units. The density of states at the Fermi level is 1.66 states/eV/f.u.

The space group is C2/m (No. 12) and the conventional cell measures 7.296, 5.150 and 5.628 Å, with angles of 90.00, 106.91 and 90.00 degrees. The inequivalent atoms are Cu at (0.250, 0.250, 0.000), Pd at (0.060, 0.000, 0.276) and Se at (0.165, 0.500, 0.316).

***

Compound: Ti4CdO
Source: Alexandria via LeMat-Bulk
Functional: PBE
Structure: optimized geometry

The value obtained for the size of the total moment is 2.0 μB/f.u. The calculation puts the formation energy without anion corrections at -199.5 kJ/mol of formula units. The density of states at the Fermi level is 7.28 states/eV/f.u.

The space group is P4/mmm (No. 123) and the conventional cell measures 3.946, 3.946 and 6.898 Å, with angles of 90.00, 90.00 and 90.00 degrees. The inequivalent atoms are Ti at (0.000, 0.000, 0.189), Ti at (0.000, 0.500, 0.500), Cd at (0.500, 0.500, 0.000) and O at (0.000, 0.000, 0.500).

***

Compound: Tb12Er7Bi
Source: Alexandria via LeMat-Bulk
Functional: PBE
Structure: optimized geometry

The total energy comes out at -266.46 eV/cell. The value obtained for the size of the total moment is 0.0 μB/f.u. The density of states at the Fermi level is 34.05 states/eV/f.u.

The space group is R-3 (No. 148, hexagonal axes) and the conventional cell measures 11.9858, 11.9858 and 15.3350 Å, with angles of 90.00, 90.00 and 120.00 degrees. The inequivalent atoms are Tb at (0.0241, 0.4481, 0.2094), Tb at (0.0557, 0.5873, 0.5869), Er at (0.0000, 0.0000, 0.0000), Er at (0.0503, 0.1874, 0.3014) and Bi at (0.0000, 0.0000, 0.5000).

***

Compound: TlTe2Se3
Source: Alexandria via LeMat-Bulk
Functional: PBE
Structure: optimized geometry

The value obtained for the size of the total moment is 0.0 μB/f.u. The calculation puts the formation energy without anion corrections at -12.9 kJ/mol of formula units. The density of states at the Fermi level is 2.73 states/eV/f.u.

The space group is Cmcm (No. 63) and the conventional cell measures 11.883, 10.894 and 7.689 Å, with angles of 90.00, 90.00 and 90.00 degrees. The inequivalent atoms are Tl at (0.000, 0.238, 0.250), Te at (0.177, 0.000, 0.000), Se at (0.000, 0.058, 0.750) and Se at (0.166, 0.478, 0.250).

***

Compound: NaCdAs
Source: Alexandria via LeMat-Bulk
Functional: PBE
Structure: optimized geometry

The total energy comes out at -39.54 eV/cell. The value obtained for the size of the total moment is 0.2 μB/f.u. The density of states at the Fermi level is 1.86 states/eV/f.u.

The space group is R-3m (No. 166, hexagonal axes) and the conventional cell measures 3.1736, 3.1736 and 48.9540 Å, with angles of 90.00, 90.00 and 120.00 degrees. The inequivalent atoms are Na at (0.0000, 0.0000, 0.0341), Cd at (0.0000, 0.0000, 0.1946) and As at (0.0000, 0.0000, 0.2506).

***

Compound: ScCd4Sb
Source: Alexandria via LeMat-Bulk
Functional: PBE
Structure: optimized geometry

The value obtained for the size of the total moment is 0.0 μB/f.u. The calculation puts the formation energy without anion corrections at 17.0 kJ/mol of formula units. The density of states at the Fermi level is 5.04 states/eV/f.u.

The space group is F-43m (No. 216) and the conventional cell measures 8.283, 8.283 and 8.283 Å, with angles of 90.00, 90.00 and 90.00 degrees. The inequivalent atoms are Sc at (0.000, 0.000, 0.000), Cd at (0.126, 0.126, 0.626) and Sb at (0.250, 0.250, 0.250).

***

Compound: TbCdHgPd
Source: Alexandria via LeMat-Bulk
Functional: PBE
Structure: optimized geometry

The total energy comes out at -52.29 eV/cell. The value obtained for the size of the total moment is 0.0 μB/f.u. The density of states at the Fermi level is 2.93 states/eV/f.u.

The space group is F-43m (No. 216) and the conventional cell measures 7.010, 7.010 and 7.010 Å, with angles of 90.00, 90.00 and 90.00 degrees. The inequivalent atoms are Tb at (0.000, 0.000, 0.000), Cd at (0.000, 0.000, 0.500), Hg at (0.250, 0.250, 0.250) and Pd at (0.250, 0.250, 0.750).

***

Compound: CdIn3GaHg
Source: Alexandria via LeMat-Bulk
Functional: PBE
Structure: optimized geometry

The total energy comes out at -24.47 eV/cell. The value obtained for the size of the total moment is 0.0 μB/f.u. The density of states at the Fermi level is 1.51 states/eV/f.u.

The space group is P2_1/m (No. 11) and the conventional cell measures 9.381, 3.532 and 9.566 Å, with angles of 90.00, 110.14 and 90.00 degrees. The inequivalent atoms are Cd at (0.117, 0.250, 0.294), In at (0.131, 0.250, 0.955), In at (0.367, 0.750, 0.545), In at (0.375, 0.750, 0.209), Ga at (0.391, 0.750, 0.887) and Hg at (0.132, 0.250, 0.633).

***

Repeat the sixth record exactly.
Compound: Ti4CdO
Source: Alexandria via LeMat-Bulk
Functional: PBE
Structure: optimized geometry

The value obtained for the size of the total moment is 2.0 μB/f.u. The calculation puts the formation energy without anion corrections at -199.5 kJ/mol of formula units. The density of states at the Fermi level is 7.28 states/eV/f.u.

The space group is P4/mmm (No. 123) and the conventional cell measures 3.946, 3.946 and 6.898 Å, with angles of 90.00, 90.00 and 90.00 degrees. The inequivalent atoms are Ti at (0.000, 0.000, 0.189), Ti at (0.000, 0.500, 0.500), Cd at (0.500, 0.500, 0.000) and O at (0.000, 0.000, 0.500).

***

Q: Which value of size of the total moment does entry 10 give?
A: 0.0 μB/f.u.